Record 1
Compound: SrHfBr2
Source: Alexandria via LeMat-Bulk
Functional: PBE
Structure: optimized geometry

Properties
- polymorph energy (0 for the lowest one) (meV per atom) = 0
- energy relative to the elements, uncorrected (eV per atom) = -0.5858
- crystal system = trigonal
- E (eV/atom) = -4.33

Geometry as CIF:
```
data_SrHfBr2
_chemical_formula_sum 'Sr3 Hf3 Br6'
_cell_length_a 3.6857
_cell_length_b 3.6857
_cell_length_c 29.6939
_cell_angle_alpha 90.00
_cell_angle_beta 90.00
_cell_angle_gamma 120.00
_symmetry_space_group_name_H-M 'R -3 m'
_symmetry_Int_Tables_number 166
_symmetry_space_group_name_Hall '-R 3 2"'
loop_
_atom_site_label
_atom_site_fract_x
_atom_site_fract_y
_atom_site_fract_z
_atom_site_occupancy
Sr1 0.0000 0.0000 0.0000 1
Hf1 0.0000 0.0000 0.5000 1
Br1 0.0000 0.0000 0.4098 1
```

---

Record 2
Compound: CaMnRh2N
Source: Alexandria via LeMat-Bulk
Functional: PBE
Structure: optimized geometry

Properties
- energy relative to the elements, uncorrected (eV per atom) = 1.4339
- crystal system = tetragonal
- E (eV/atom) = -5.41

Geometry as CIF:
```
data_CaMnRh2N
_chemical_formula_sum 'Ca1 Mn1 Rh2 N1'
_cell_length_a 4.324
_cell_length_b 4.324
_cell_length_c 5.660
_cell_angle_alpha 90.00
_cell_angle_beta 90.00
_cell_angle_gamma 90.00
_symmetry_space_group_name_H-M 'P 4/m m m'
_symmetry_Int_Tables_number 123
_symmetry_space_group_name_Hall '-P 4 2'
loop_
_atom_site_label
_atom_site_fract_x
_atom_site_fract_y
_atom_site_fract_z
_atom_site_occupancy
Ca1 0.000 0.000 0.000 1
Mn1 0.000 0.000 0.500 1
Rh1 0.000 0.500 0.500 1
N1 0.500 0.500 0.000 1
```

---

Record 3
Compound: CaLa2Al
Source: Alexandria via LeMat-Bulk
Functional: PBE
Structure: optimized geometry

Properties
- energy of formation from the pure elements (eV/f.u.) = -0.4
- crystal system = orthorhombic
- E (eV/atom) = -4.01

Geometry as CIF:
```
data_CaLa2Al
_chemical_formula_sum 'Ca2 La4 Al2'
_cell_length_a 3.830
_cell_length_b 5.519
_cell_length_c 12.316
_cell_angle_alpha 90.00
_cell_angle_beta 90.00
_cell_angle_gamma 90.00
_symmetry_space_group_name_H-M 'I m m m'
_symmetry_Int_Tables_number 71
_symmetry_space_group_name_Hall '-I 2 2'
loop_
_atom_site_label
_atom_site_fract_x
_atom_site_fract_y
_atom_site_fract_z
_atom_site_occupancy
Ca1 0.000 0.000 0.000 1
La1 0.000 0.500 0.210 1
Al1 0.000 0.000 0.500 1
```

---

Record 4
Compound: ZnHg2O
Source: Alexandria via LeMat-Bulk
Functional: PBE
Structure: optimized geometry

Properties
- polymorph energy (0 for the lowest one) (meV per atom) = 0
- energy relative to the elements, uncorrected (eV per atom) = -0.0093
- crystal system = tetragonal
- E (eV/atom) = -1.72

Geometry as CIF:
```
data_ZnHg2O
_chemical_formula_sum 'Zn4 Hg8 O4'
_cell_length_a 6.367
_cell_length_b 6.367
_cell_length_c 8.349
_cell_angle_alpha 90.00
_cell_angle_beta 90.00
_cell_angle_gamma 90.00
_symmetry_space_group_name_H-M 'I -4 2 d'
_symmetry_Int_Tables_number 122
_symmetry_space_group_name_Hall 'I -4 2bw'
loop_
_atom_site_label
_atom_site_fract_x
_atom_site_fract_y
_atom_site_fract_z
_atom_site_occupancy
Zn1 0.000 0.000 0.000 1
Hg1 0.211 0.750 0.625 1
O1 0.000 0.000 0.500 1
```

---

Record 5
Compound: Tm4TlBiSe2
Source: Alexandria via LeMat-Bulk
Functional: PBE
Structure: optimized geometry

Properties
- energy relative to the elements, uncorrected (eV per atom) = -1.0511
- crystal system = monoclinic
- E (eV/atom) = -4.94

Geometry as CIF:
```
data_Tm4TlBiSe2
_chemical_formula_sum 'Tm4 Tl1 Bi1 Se2'
_cell_length_a 7.251
_cell_length_b 4.117
_cell_length_c 7.458
_cell_angle_alpha 90.00
_cell_angle_beta 108.33
_cell_angle_gamma 90.00
_symmetry_space_group_name_H-M 'P 1 2/m 1'
_symmetry_Int_Tables_number 10
loop_
_symmetry_equiv_pos_as_xyz
'x,y,z'
'-x,-y,-z'
'-x,y,-z'
'x,-y,z'
loop_
_atom_site_label
_atom_site_fract_x
_atom_site_fract_y
_atom_site_fract_z
_atom_site_occupancy
Tm1 0.238 0.000 0.233 1
Tm2 0.253 0.500 0.767 1
Tl1 0.000 0.000 0.500 1
Bi1 0.500 0.500 0.500 1
Se1 0.000 0.500 0.000 1
Se2 0.500 0.000 0.000 1
```

---

Record 6
Compound: CsTiBi2P
Source: Alexandria via LeMat-Bulk
Functional: PBE
Structure: optimized geometry

Properties
- energy of formation from the pure elements (eV/f.u.) = 3.3
- crystal system = tetragonal
- E (eV/atom) = -3.73

Geometry as CIF:
```
data_CsTiBi2P
_chemical_formula_sum 'Cs1 Ti1 Bi2 P1'
_cell_length_a 5.381
_cell_length_b 5.381
_cell_length_c 6.614
_cell_angle_alpha 90.00
_cell_angle_beta 90.00
_cell_angle_gamma 90.00
_symmetry_space_group_name_H-M 'P 4/m m m'
_symmetry_Int_Tables_number 123
_symmetry_space_group_name_Hall '-P 4 2'
loop_
_atom_site_label
_atom_site_fract_x
_atom_site_fract_y
_atom_site_fract_z
_atom_site_occupancy
Cs1 0.000 0.000 0.000 1
Ti1 0.000 0.000 0.500 1
Bi1 0.000 0.500 0.500 1
P1 0.500 0.500 0.000 1
```